VSbPdO2: relaxed, PBE+U.

The structure belongs to space group P4/mmm (No. 123); the cell edges are 4.0457, 4.0457 and 5.2298 Å and the angles 90.00°, 90.00° and 90.00°. The asymmetric unit holds V at (0.0000, 0.0000, 0.0000), Sb at (0.5000, 0.5000, 0.5000), Pd at (0.5000, 0.5000, 0.0000) and O at (0.0000, 0.5000, 0.5000).

The volume comes out at 17.120 A^3/atom. As for the total energy: -26.0 eV/cell.